## Fe4O7F (GGA+U)

Data for an optimized crystal structure of Fe4O7F.

raw total energy	-6.13	eV per atom

Structure (extended XYZ):
```
24
Lattice="4.399 -3.317 0.000 4.399 3.317 0.000 -0.554 0.000 8.792" Properties=species:S:1:pos:R:3 pbc="T T T"
Fe 1.922 1.659 4.396
Fe 3.196 1.680 1.063
Fe 3.983 1.830 6.594
Fe 5.324 1.680 3.333
Fe 2.199 -1.659 0.000
Fe 2.919 -1.680 5.459
Fe 4.260 -1.830 2.198
Fe 5.047 -1.680 7.729
O 2.050 1.713 6.344
O 4.260 2.825 2.198
O 2.246 0.367 0.024
O 3.858 1.708 4.649
O 4.109 1.708 8.539
O 1.969 -0.367 4.420
O 5.917 1.713 6.844
O 2.327 -1.713 1.948
O 6.275 0.367 4.372
O 4.135 -1.708 0.253
O 4.386 -1.708 4.143
O 5.998 -0.367 8.767
O 3.983 -2.825 6.594
O 6.194 -1.713 2.448
F 4.260 0.287 2.198
F 3.983 -0.287 6.594
```